! HfPtC3 | Alexandria via LeMat-Bulk | GGA-PBEsol | relaxed; values from VASP
&SYSTEM
  ibrav = 0, nat = 5, ntyp = 3
/
ATOMIC_SPECIES
Pt 195.08 Pt.upf
C 12.01 C.upf
Hf 178.49 Hf.upf
CELL_PARAMETERS angstrom
4.169 0.000 0.000
0.000 4.169 0.000
0.000 0.000 4.169
ATOMIC_POSITIONS angstrom
Pt 2.085 2.085 2.085
C 0.000 2.085 0.000
C 2.085 0.000 0.000
C 0.000 0.000 2.085
Hf 0.000 0.000 0.000
! E_form	56.5	kcal/mol of atoms
! theoretical density	9.4	g/cm³